# 1
Material: TlZnP2
Method: DFT, PBE
State: optimized geometry

The structure belongs to space group Cm (No. 8); the cell edges are 10.163, 3.262 and 5.969 Å and the angles 90.00°, 113.60° and 90.00°. The inequivalent atoms are Tl at (0.000, 0.000, 0.000), Zn at (0.334, 0.500, 0.355), P at (0.060, 0.500, 0.543) and P at (0.213, 0.000, 0.565).

Its energy above the most stable polymorph in this dataset is 65 meV/atom. The calculated formation energy comes out at 0.172 eV per atom.

# 2
Material: Cs3MgPb2F9
Method: DFT, PBE
State: optimized geometry

The structure belongs to space group P-3m1 (No. 164); the cell edges are 6.5678, 6.5678 and 8.0576 Å and the angles 90.00°, 90.00° and 120.00°. The inequivalent atoms are Cs at (0.0000, 0.0000, 0.0000), Cs at (0.3333, 0.6667, 0.6648), Mg at (0.0000, 0.0000, 0.5000), Pb at (0.3333, 0.6667, 0.1889), F at (0.0000, 0.5000, 0.0000) and F at (0.1479, 0.2958, 0.3533).

As for the formation energy without anion corrections: -41.54 eV per formula unit.

# 3
Material: Cs2AsF6
Method: DFT, PBE
State: optimized geometry

The structure belongs to space group P-3m1 (No. 164); the cell edges are 6.3225, 6.3225 and 5.2102 Å and the angles 90.00°, 90.00° and 120.00°. The inequivalent atoms are Cs at (0.3333, 0.6667, 0.2965), As at (0.0000, 0.0000, 0.0000) and F at (0.1463, 0.2926, 0.7930).

As for the formation energy without anion corrections: -22.10 eV per formula unit. Its energy above the most stable polymorph in this dataset is 10 meV/atom.

# 4
Material: VP2Ru
Method: DFT, PBE
State: optimized geometry

The structure belongs to space group R3m (No. 160, hexagonal axes); the cell edges are 3.5445, 3.5445 and 15.5500 Å and the angles 90.00°, 90.00° and 120.00°. The inequivalent atoms are V at (0.0000, 0.0000, 0.0000), P at (0.0000, 0.0000, 0.4262), P at (0.0000, 0.0000, 0.5880) and Ru at (0.0000, 0.0000, 0.1807).

Its energy above the most stable polymorph in this dataset is 0 meV/atom. The calculated formation energy comes out at -0.430 eV per atom.